P.
Here is YRuRh at its PBEsol-relaxed geometry from Alexandria via LeMat-Bulk. Energies are from meta-GGA SCAN.

Cell lengths 3.0687, 3.0687, 6.4348 Å; angles 90.00, 90.00, 120.00 degrees
With the nearest neighbours (Å) after each atom.
Fractional coordinates of all 3 atoms:
1 Rh 0.0000 0.0000 0.9851  3 Ru 2.64, 3 Y 2.86
2 Ru 0.3333 0.6667 0.6808  3 Rh 2.64, 3 Y 2.85
3 Y 0.6667 0.3333 0.3340  3 Ru 2.85, 3 Rh 2.86, 6 Y 3.07

***

Q.
Here is YRuRh at its PBEsol-relaxed geometry from Alexandria via LeMat-Bulk. Energies are from meta-GGA SCAN.

Cell lengths 4.3601, 4.3601, 4.3601 Å; angles 60.00, 60.00, 60.00 degrees
With the nearest neighbours (Å) after each atom.
Fractional coordinates of all 3 atoms:
1 Rh 0.0000 0.0000 0.0000  4 Y 2.67
2 Ru 0.5000 0.5000 0.5000  4 Y 2.67
3 Y 0.2500 0.2500 0.2500  4 Rh 2.67, 4 Ru 2.67

***

R.
Here is YRuRh at its PBEsol-relaxed geometry from Alexandria via LeMat-Bulk. Energies are from meta-GGA SCAN.

Cell lengths 3.3246, 3.3246, 5.3666 Å; angles 108.04, 108.04, 90.00 degrees
With the nearest neighbours (Å) after each atom.
Fractional coordinates of all 3 atoms:
1 Rh 0.0271 0.0271 0.0543  4 Ru 2.59
2 Ru 0.6399 0.6399 0.2797  4 Rh 2.59
3 Y 0.3330 0.3330 0.6660  5 Rh 2.95-3.01, 5 Ru 2.96-3.00

***

Compare the structures above. Which one is the most stable? R is.